# 1
Material: LiRe2O6
Method: DFT, GGA-PBE
State: relaxed

a b c (Å): 5.521 7.333 7.333
angles (deg): 75.72 78.98 78.98
Element x y z (fractional)
O (0.869, 0.193, 0.010)
O (0.902, 0.689, 0.678)
O (0.252, 0.054, 0.621)
Li (0.750, 0.922, 0.078)
O (0.131, 0.807, 0.990)
O (0.631, 0.990, 0.807)
Li (0.250, 0.078, 0.922)
O (0.098, 0.311, 0.322)
O (0.369, 0.010, 0.193)
Re (0.586, 0.874, 0.633)
Re (0.914, 0.367, 0.126)
O (0.598, 0.322, 0.311)
O (0.248, 0.379, 0.946)
O (0.748, 0.946, 0.379)
Re (0.086, 0.633, 0.874)
Re (0.414, 0.126, 0.367)
O (0.752, 0.621, 0.054)
O (0.402, 0.678, 0.689)

DFT total energy in eV/f.u.: -70.310
E_form (uncorrected) in eV/atom: -1.528
SG: C2/c

# 2
Material: LiRe3O
Method: DFT, GGA-PBE
State: relaxed

a b c (Å): 4.066 4.066 4.066
angles (deg): 90.00 90.00 90.00
Element x y z (fractional)
Re (0.000, 0.000, 0.500)
Re (0.500, 0.000, 0.000)
O (0.000, 0.000, 0.000)
Li (0.500, 0.500, 0.500)
Re (0.000, 0.500, 0.000)

DFT total energy in eV/f.u.: -41.272
E_form (uncorrected) in eV/atom: 0.589
Polymorph energy (0 for the lowest one) in eV/f.u.: 0.00
SG: Pm-3m

# 3
Material: Li5ReO8
Method: DFT, GGA-PBE
State: relaxed

a b c (Å): 5.590 5.590 5.590
angles (deg): 109.87 108.68 109.87
Element x y z (fractional)
Li (0.870, 0.217, 0.086)
O (0.555, 0.384, 0.939)
Li (0.914, 0.784, 0.131)
Li (0.869, 0.783, 0.653)
O (0.192, 0.789, 0.982)
O (0.597, 0.790, 0.808)
Re (0.250, 0.500, 0.750)
O (0.829, 0.384, 0.445)
O (0.555, 0.616, 0.171)
O (0.193, 0.211, 0.403)
O (0.061, 0.616, 0.445)
Li (0.500, 0.000, 0.500)
O (0.018, 0.210, 0.807)
Li (0.347, 0.216, 0.130)

DFT total energy in eV/f.u.: -82.350
E_form (uncorrected) in eV/atom: -1.476
SG: I-4m2

# 4
Material: Li3ReO4
Method: DFT, GGA-PBE
State: relaxed

a b c (Å): 3.969 6.060 7.094
angles (deg): 90.00 90.00 90.00
Element x y z (fractional)
O (0.064, 0.323, 0.228)
O (0.564, 0.677, 0.728)
Li (0.064, 0.661, 0.235)
Li (0.564, 0.339, 0.735)
O (0.564, 0.677, 0.272)
O (0.064, 0.836, 0.500)
O (0.064, 0.323, 0.772)
Re (0.064, 0.164, 0.000)
O (0.064, 0.853, 0.000)
Li (0.064, 0.186, 0.500)
O (0.564, 0.164, 0.000)
Li (0.564, 0.814, 0.000)
Re (0.564, 0.836, 0.500)
Li (0.564, 0.339, 0.265)
Li (0.064, 0.661, 0.765)
O (0.564, 0.147, 0.500)

DFT total energy in eV/f.u.: -52.553
E_form (uncorrected) in eV/atom: -1.816
Polymorph energy (0 for the lowest one) in eV/f.u.: 0.20
SG: Pmmn

Record order is preserved below.
Ρ: 5.7; 14.4; 4.3; 5.3 g cm⁻³